# 1
VASP calculation (PBE) on crystalline EuYGaRh at its relaxed geometry.

## Properties
E_form: -49 kJ per mole of atoms
Fermi-level density of states: 6.624 states/eV/f.u.

abc: 5.037 5.037 5.037
angles: 60.00 60.00 60.00
Fractional positions:
Eu 0.000 0.000 0.000
Y 0.500 0.500 0.500
Rh 0.750 0.750 0.750
Ga 0.250 0.250 0.250


# 2
VASP calculation (PBE) on crystalline EuGa2Ru at its relaxed geometry.

## Properties
E_form: -36 kJ per mole of atoms
Fermi-level density of states: 1.162 states/eV/f.u.

abc: 3.209 3.209 7.264
angles: 90.00 90.00 90.00
Fractional positions:
Eu 0.500 0.500 0.500
Ru 0.500 0.500 0.000
Ga 0.000 0.000 0.812
Ga 0.000 0.000 0.188